(1)
A relaxed ReGeTeI2 crystal, computed with GGA-PBE.

```
data_ReGeTeI2
_chemical_formula_sum 'Re1 Ge1 Te1 I2'
_cell_length_a 5.556
_cell_length_b 5.556
_cell_length_c 5.104
_cell_angle_alpha 90.00
_cell_angle_beta 90.00
_cell_angle_gamma 90.00
_space_group_name_H-M_alt 'P 1'
_space_group_IT_number 1
_space_group_name_Hall 'P 1'
loop_
_atom_site_label
_atom_site_type_symbol
_atom_site_fract_x
_atom_site_fract_y
_atom_site_fract_z
Te1 Te 0.000 0.000 0.500
I1 I 0.000 0.500 0.000
I2 I 0.500 0.000 0.000
Re1 Re 0.000 0.000 0.000
Ge1 Ge 0.500 0.500 0.500
```

Properties
* energy relative to the elements, uncorrected: 0.89 eV per atom
* SG: P4/mmm, No. 123

---

(2)
A relaxed Pd3RuO crystal, computed with GGA-PBE.

```
data_Pd3RuO
_chemical_formula_sum 'Pd3 Ru1 O1'
_cell_length_a 4.749
_cell_length_b 4.749
_cell_length_c 4.749
_cell_angle_alpha 90.00
_cell_angle_beta 90.00
_cell_angle_gamma 90.00
_space_group_name_H-M_alt 'P 1'
_space_group_IT_number 1
_space_group_name_Hall 'P 1'
loop_
_atom_site_label
_atom_site_type_symbol
_atom_site_fract_x
_atom_site_fract_y
_atom_site_fract_z
Pd1 Pd 0.500 0.000 0.000
Pd2 Pd 0.000 0.500 0.000
Pd3 Pd 0.000 0.000 0.500
O1 O 0.500 0.500 0.500
Ru1 Ru 0.000 0.000 0.000
```

Properties
* energy relative to the elements, uncorrected: 1.70 eV per atom
* SG: Pm-3m, No. 221

---

(3)
A relaxed LaMnPb3 crystal, computed with GGA-PBE.

```
data_LaMnPb3
_chemical_formula_sum 'La1 Mn1 Pb3'
_cell_length_a 5.186
_cell_length_b 5.186
_cell_length_c 5.186
_cell_angle_alpha 90.00
_cell_angle_beta 90.00
_cell_angle_gamma 90.00
_space_group_name_H-M_alt 'P 1'
_space_group_IT_number 1
_space_group_name_Hall 'P 1'
loop_
_atom_site_label
_atom_site_type_symbol
_atom_site_fract_x
_atom_site_fract_y
_atom_site_fract_z
Pb1 Pb 0.000 0.500 0.000
Pb2 Pb 0.500 0.000 0.000
Pb3 Pb 0.000 0.000 0.500
Mn1 Mn 0.000 0.000 0.000
La1 La 0.500 0.500 0.500
```

Properties
* total DFT energy (no corrections): -24.2 eV per cell
* SG: Pm-3m, No. 221